A plane-wave DFT calculation with PBE was carried out for a geometry-optimized ZnCu2GeTe2S2 structure.

Values from the calculation:
Space group: No. 42
Electronic total energy: -3.746 eV/atom
Offset from the most stable computed form: 20.7 kJ/mol of formula units

Unit cell a=7.0212 b=6.9742 c=5.7183 alpha=66.31 beta=65.46 gamma=48.23
Sites, in units of the cell vectors:
Cu1 0.7289 0.7289 0.7711
Cu2 0.2289 0.2289 0.2711
Ge1 0.0130 0.0130 0.9870
S1 0.8930 0.3732 0.1070
S2 0.3732 0.8930 0.6268
Te1 0.6202 0.1233 0.8767
Te2 0.1233 0.6202 0.3798
Zn1 0.5195 0.5195 0.4805

=====

A plane-wave DFT calculation with PBE was carried out for a geometry-optimized NaAgNO structure.

Values from the calculation:
Space group: No. 129
Electronic total energy: -3.846 eV/atom
Offset from the most stable computed form: 0.0 kJ/mol of formula units

Unit cell a=4.4982 b=4.4982 c=4.5811 alpha=90.00 beta=90.00 gamma=90.00
Sites, in units of the cell vectors:
O1 0.2500 0.7500 0.0000
O2 0.7500 0.2500 0.0000
N1 0.7500 0.7500 0.4967
N2 0.2500 0.2500 0.5033
Ag1 0.2500 0.7500 0.5000
Ag2 0.7500 0.2500 0.5000
Na1 0.7500 0.7500 0.9972
Na2 0.2500 0.2500 0.0028

=====

A plane-wave DFT calculation with PBE was carried out for a geometry-optimized Tl3GaAu2 structure.

Values from the calculation:
Space group: No. 115
Electronic total energy: -2.822 eV/atom

Unit cell a=4.8430 b=4.8430 c=6.8435 alpha=90.00 beta=90.00 gamma=90.00
Sites, in units of the cell vectors:
Tl1 0.5000 0.5000 0.5000
Tl2 0.0000 0.0000 0.5000
Tl3 0.5000 0.5000 0.0000
Au1 0.5000 0.0000 0.2270
Au2 0.0000 0.5000 0.7730
Ga1 0.0000 0.0000 0.0000

=====

A plane-wave DFT calculation with PBE was carried out for a geometry-optimized DyTcAs structure.

Values from the calculation:
Space group: No. 216
Electronic total energy: -6.748 eV/atom
Offset from the most stable computed form: 0.0 kJ/mol of formula units

Unit cell a=4.4741 b=4.4741 c=4.4741 alpha=60.00 beta=60.00 gamma=60.00
Sites, in units of the cell vectors:
Dy1 0.2500 0.2500 0.2500
Tc1 0.7500 0.7500 0.7500
As1 0.0000 0.0000 0.0000

=====

A plane-wave DFT calculation with PBE was carried out for a geometry-optimized AcNpGe structure.

Values from the calculation:
Space group: No. 216
Electronic total energy: -6.427 eV/atom
Offset from the most stable computed form: 183.4 kJ/mol of formula units

Unit cell a=5.1616 b=5.1616 c=5.1616 alpha=60.00 beta=60.00 gamma=60.00
Sites, in units of the cell vectors:
Np1 0.7500 0.7500 0.7500
Ge1 0.2500 0.2500 0.2500
Ac1 0.0000 0.0000 0.0000

=====

A plane-wave DFT calculation with PBE was carried out for a geometry-optimized PrErZn2Pb2 structure.

Values from the calculation:
Space group: No. 194
Electronic total energy: -3.627 eV/atom
Offset from the most stable computed form: 12.1 kJ/mol of formula units

Unit cell a=4.6465 b=4.6465 c=16.1119 alpha=90.00 beta=90.00 gamma=120.00
Sites, in units of the cell vectors:
Pb1 0.3333 0.6667 0.1056
Pb2 0.3333 0.6667 0.3944
Pb3 0.6667 0.3333 0.6056
Pb4 0.6667 0.3333 0.8944
Zn1 0.3333 0.6667 0.6598
Zn2 0.6667 0.3333 0.1598
Zn3 0.6667 0.3333 0.3402
Zn4 0.3333 0.6667 0.8402
Er1 0.0000 0.0000 0.5000
Er2 0.0000 0.0000 0.0000
Pr1 0.0000 0.0000 0.2500
Pr2 0.0000 0.0000 0.7500

=====

A plane-wave DFT calculation with PBE was carried out for a geometry-optimized LuTaZnCo structure.

Values from the calculation:
Space group: No. 216
ΔE_f: 1.110 eV/f.u.
Electronic total energy: -5.909 eV/atom
Offset from the most stable computed form: 0.0 kJ/mol of formula units

Unit cell a=4.5396 b=4.5396 c=4.5396 alpha=60.00 beta=60.00 gamma=60.00
Sites, in units of the cell vectors:
Lu1 0.2500 0.2500 0.2500
Co1 0.7500 0.7500 0.7500
Ta1 0.5000 0.5000 0.5000
Zn1 0.0000 0.0000 0.0000

=====

A plane-wave DFT calculation with PBE was carried out for a geometry-optimized KYHgSe3 structure.

Values from the calculation:
Space group: No. 12
Electronic total energy: -4.197 eV/atom

Unit cell a=9.4758 b=9.4758 c=9.2647 alpha=102.53 beta=102.53 gamma=25.60
Sites, in units of the cell vectors:
Se1 0.3308 0.3308 0.1316
Se2 0.0000 0.0000 0.0000
Se3 0.5000 0.5000 0.5000
Se4 0.6692 0.6692 0.8684
Se5 0.3283 0.3283 0.7082
Se6 0.6717 0.6717 0.2918
Y1 0.1733 0.1733 0.0812
Y2 0.8267 0.8267 0.9188
K1 0.1411 0.1411 0.5699
K2 0.8589 0.8589 0.4301
Hg1 0.5190 0.5190 0.2232
Hg2 0.4810 0.4810 0.7768

=====

A plane-wave DFT calculation with PBE was carried out for a geometry-optimized MgSc2AlZn2Au2 structure.

Values from the calculation:
Space group: No. 115
Electronic total energy: -3.931 eV/atom

Unit cell a=4.6287 b=4.6287 c=6.6066 alpha=90.00 beta=90.00 gamma=90.00
Sites, in units of the cell vectors:
Au1 0.0000 0.5000 0.2423
Au2 0.5000 0.0000 0.7577
Zn1 0.5000 0.0000 0.2475
Zn2 0.0000 0.5000 0.7525
Sc1 0.5000 0.5000 0.0000
Sc2 0.0000 0.0000 0.5000
Mg1 0.5000 0.5000 0.5000
Al1 0.0000 0.0000 0.0000

=====

A plane-wave DFT calculation with PBE was carried out for a geometry-optimized DyAlGa2 structure.

Values from the calculation:
Space group: No. 40
Electronic total energy: -4.101 eV/atom

Unit cell a=4.5620 b=6.2820 c=6.2820 alpha=120.33 beta=90.00 gamma=90.00
Sites, in units of the cell vectors:
Dy1 0.2500 0.3308 0.6663
Dy2 0.7500 0.6663 0.3308
Ga1 0.2500 0.8477 0.1460
Ga2 0.7500 0.1460 0.8477
Ga3 0.7500 0.1502 0.2960
Ga4 0.2500 0.2960 0.1502
Al1 0.7500 0.7105 0.8524
Al2 0.2500 0.8524 0.7105

=====

A plane-wave DFT calculation with PBE was carried out for a geometry-optimized Y2Fe14B structure.

Values from the calculation:
Space group: No. 136
Electronic total energy: -8.106 eV/atom

Unit cell a=8.7165 b=8.7165 c=11.9230 alpha=90.00 beta=90.00 gamma=90.00
Sites, in units of the cell vectors:
Fe1 0.6826 0.3174 0.2540
Fe2 0.0000 0.5000 0.5000
Fe3 0.4335 0.2245 0.3732
Fe4 0.7755 0.5665 0.6268
Fe5 0.5373 0.8590 0.8252
Fe6 0.5000 0.0000 0.0000
Fe7 0.0000 0.0000 0.8843
Fe8 0.9627 0.3590 0.3251
Fe9 0.9027 0.0973 0.7009
Fe10 0.0665 0.7245 0.8732
Fe11 0.3590 0.9627 0.3251
Fe12 0.0000 0.0000 0.1157
Fe13 0.0665 0.7245 0.1268
Fe14 0.2755 0.9335 0.1268
Fe15 0.1410 0.4627 0.1748
Fe16 0.7245 0.0665 0.1268
Fe17 0.8174 0.8174 0.7540
Fe18 0.4627 0.1410 0.1748
Fe19 0.0373 0.6410 0.6748
Fe20 0.3174 0.6826 0.2540
Fe21 0.7755 0.5665 0.3732
Fe22 0.1826 0.1826 0.7540
Fe23 0.4027 0.4027 0.7991
Fe24 0.8174 0.8174 0.2460
Fe25 0.7245 0.0665 0.8732
Fe26 0.5000 0.0000 0.5000
Fe27 0.2245 0.4335 0.3732
Fe28 0.5373 0.8590 0.1748
Fe29 0.5000 0.5000 0.6157
Fe30 0.6410 0.0373 0.6748
Fe31 0.9335 0.2755 0.1268
Fe32 0.4627 0.1410 0.8252
Fe33 0.9027 0.0973 0.2991
Fe34 0.0373 0.6410 0.3251
Fe35 0.4027 0.4027 0.2009
Fe36 0.9335 0.2755 0.8732
Fe37 0.3590 0.9627 0.6748
Fe38 0.6826 0.3174 0.7460
Fe39 0.6410 0.0373 0.3251
Fe40 0.5665 0.7755 0.6268
Fe41 0.9627 0.3590 0.6748
Fe42 0.5973 0.5973 0.2009
Fe43 0.2245 0.4335 0.6268
Fe44 0.8590 0.5373 0.8252
Fe45 0.1410 0.4627 0.8252
Fe46 0.4335 0.2245 0.6268
Fe47 0.8590 0.5373 0.1748
Fe48 0.0973 0.9027 0.7009
Fe49 0.0973 0.9027 0.2991
Fe50 0.5665 0.7755 0.3732
Fe51 0.5000 0.5000 0.3843
Fe52 0.5973 0.5973 0.7991
Fe53 0.1826 0.1826 0.2460
Fe54 0.2755 0.9335 0.8732
Fe55 0.0000 0.5000 0.0000
Fe56 0.3174 0.6826 0.7460
B1 0.8750 0.1250 0.0000
B2 0.3750 0.3750 0.5000
B3 0.6250 0.6250 0.5000
B4 0.1250 0.8750 0.0000
Y1 0.2674 0.7326 0.5000
Y2 0.7326 0.2674 0.5000
Y3 0.6430 0.3570 0.0000
Y4 0.7674 0.7674 0.0000
Y5 0.8570 0.8570 0.5000
Y6 0.1430 0.1430 0.5000
Y7 0.2326 0.2326 0.0000
Y8 0.3570 0.6430 0.0000

=====

A plane-wave DFT calculation with PBE was carried out for a geometry-optimized POsPtO structure.

Values from the calculation:
Space group: No. 129
Electronic total energy: -6.655 eV/atom
Offset from the most stable computed form: 189.8 kJ/mol of formula units

Unit cell a=3.8972 b=3.8972 c=6.6649 alpha=90.00 beta=90.00 gamma=90.00
Sites, in units of the cell vectors:
Pt1 0.0000 0.0000 0.5000
Pt2 0.5000 0.5000 0.5000
Os1 0.0000 0.5000 0.1645
Os2 0.5000 0.0000 0.8355
P1 0.0000 0.5000 0.7279
P2 0.5000 0.0000 0.2721
O1 0.5000 0.5000 0.0000
O2 0.0000 0.0000 0.0000

=====

Copy entry 11 word for word.
A plane-wave DFT calculation with PBE was carried out for a geometry-optimized Y2Fe14B structure.

Values from the calculation:
Space group: No. 136
Electronic total energy: -8.106 eV/atom

Unit cell a=8.7165 b=8.7165 c=11.9230 alpha=90.00 beta=90.00 gamma=90.00
Sites, in units of the cell vectors:
Fe1 0.6826 0.3174 0.2540
Fe2 0.0000 0.5000 0.5000
Fe3 0.4335 0.2245 0.3732
Fe4 0.7755 0.5665 0.6268
Fe5 0.5373 0.8590 0.8252
Fe6 0.5000 0.0000 0.0000
Fe7 0.0000 0.0000 0.8843
Fe8 0.9627 0.3590 0.3251
Fe9 0.9027 0.0973 0.7009
Fe10 0.0665 0.7245 0.8732
Fe11 0.3590 0.9627 0.3251
Fe12 0.0000 0.0000 0.1157
Fe13 0.0665 0.7245 0.1268
Fe14 0.2755 0.9335 0.1268
Fe15 0.1410 0.4627 0.1748
Fe16 0.7245 0.0665 0.1268
Fe17 0.8174 0.8174 0.7540
Fe18 0.4627 0.1410 0.1748
Fe19 0.0373 0.6410 0.6748
Fe20 0.3174 0.6826 0.2540
Fe21 0.7755 0.5665 0.3732
Fe22 0.1826 0.1826 0.7540
Fe23 0.4027 0.4027 0.7991
Fe24 0.8174 0.8174 0.2460
Fe25 0.7245 0.0665 0.8732
Fe26 0.5000 0.0000 0.5000
Fe27 0.2245 0.4335 0.3732
Fe28 0.5373 0.8590 0.1748
Fe29 0.5000 0.5000 0.6157
Fe30 0.6410 0.0373 0.6748
Fe31 0.9335 0.2755 0.1268
Fe32 0.4627 0.1410 0.8252
Fe33 0.9027 0.0973 0.2991
Fe34 0.0373 0.6410 0.3251
Fe35 0.4027 0.4027 0.2009
Fe36 0.9335 0.2755 0.8732
Fe37 0.3590 0.9627 0.6748
Fe38 0.6826 0.3174 0.7460
Fe39 0.6410 0.0373 0.3251
Fe40 0.5665 0.7755 0.6268
Fe41 0.9627 0.3590 0.6748
Fe42 0.5973 0.5973 0.2009
Fe43 0.2245 0.4335 0.6268
Fe44 0.8590 0.5373 0.8252
Fe45 0.1410 0.4627 0.8252
Fe46 0.4335 0.2245 0.6268
Fe47 0.8590 0.5373 0.1748
Fe48 0.0973 0.9027 0.7009
Fe49 0.0973 0.9027 0.2991
Fe50 0.5665 0.7755 0.3732
Fe51 0.5000 0.5000 0.3843
Fe52 0.5973 0.5973 0.7991
Fe53 0.1826 0.1826 0.2460
Fe54 0.2755 0.9335 0.8732
Fe55 0.0000 0.5000 0.0000
Fe56 0.3174 0.6826 0.7460
B1 0.8750 0.1250 0.0000
B2 0.3750 0.3750 0.5000
B3 0.6250 0.6250 0.5000
B4 0.1250 0.8750 0.0000
Y1 0.2674 0.7326 0.5000
Y2 0.7326 0.2674 0.5000
Y3 0.6430 0.3570 0.0000
Y4 0.7674 0.7674 0.0000
Y5 0.8570 0.8570 0.5000
Y6 0.1430 0.1430 0.5000
Y7 0.2326 0.2326 0.0000
Y8 0.3570 0.6430 0.0000

=====

Please write out number 8 again, unchanged.
A plane-wave DFT calculation with PBE was carried out for a geometry-optimized KYHgSe3 structure.

Values from the calculation:
Space group: No. 12
Electronic total energy: -4.197 eV/atom

Unit cell a=9.4758 b=9.4758 c=9.2647 alpha=102.53 beta=102.53 gamma=25.60
Sites, in units of the cell vectors:
Se1 0.3308 0.3308 0.1316
Se2 0.0000 0.0000 0.0000
Se3 0.5000 0.5000 0.5000
Se4 0.6692 0.6692 0.8684
Se5 0.3283 0.3283 0.7082
Se6 0.6717 0.6717 0.2918
Y1 0.1733 0.1733 0.0812
Y2 0.8267 0.8267 0.9188
K1 0.1411 0.1411 0.5699
K2 0.8589 0.8589 0.4301
Hg1 0.5190 0.5190 0.2232
Hg2 0.4810 0.4810 0.7768

=====

- Which value of electronic total energy does entry 6 give?
  -3.627 eV/atom